(1)
# PBE PuURe2, optimized geometry
# - Total moment: 4.81 μB per formula unit
# - Total energy: -0.4541 hartree per atom
# - DFT formation energy: 272 meV/atom
data_PuURe2
_cell_length_a 4.616
_cell_length_b 4.616
_cell_length_c 3.607
_cell_angle_alpha 90.00
_cell_angle_beta 90.00
_cell_angle_gamma 90.00
_symmetry_space_group_name_H-M 'P 4/m m m'
_symmetry_Int_Tables_number 123
_symmetry_space_group_name_Hall '-P 4 2'
loop_
_atom_site_label
_atom_site_fract_x
_atom_site_fract_y
_atom_site_fract_z
Pu1 0.000 0.000 0.000
U1 0.500 0.500 0.000
Re1 0.000 0.500 0.500

---

(2)
# PBE Ag4SCl3, optimized geometry
# - Total moment: 0.00 μB per formula unit
# - Total energy: -0.1064 hartree per atom
# - E_form (uncorrected): -201 kJ/mol of formula units
data_Ag4SCl3
_cell_length_a 8.252
_cell_length_b 7.388
_cell_length_c 6.970
_cell_angle_alpha 90.00
_cell_angle_beta 90.00
_cell_angle_gamma 90.00
_symmetry_space_group_name_H-M 'P m n 21'
_symmetry_Int_Tables_number 31
loop_
_symmetry_equiv_pos_as_xyz
'x,y,z'
'-x+1/2,-y,z+1/2'
'-x,y,z'
'x+1/2,-y,z+1/2'
loop_
_atom_site_label
_atom_site_fract_x
_atom_site_fract_y
_atom_site_fract_z
Ag1 0.000 0.153 0.000
Ag2 0.000 0.838 0.538
Ag3 0.230 0.682 0.010
S1 0.000 0.845 0.884
Cl1 0.000 0.168 0.382
Cl2 0.247 0.655 0.386

---

(3)
# PBE TmZrCl, optimized geometry
# - Total moment: 0.00 μB per formula unit
# - Total energy: -0.2144 hartree per atom
# - E_form (uncorrected): -254 kJ/mol of formula units
data_TmZrCl
_cell_length_a 3.456
_cell_length_b 3.456
_cell_length_c 15.385
_cell_angle_alpha 84.24
_cell_angle_beta 89.60
_cell_angle_gamma 60.04
_symmetry_space_group_name_H-M 'P 1'
_symmetry_Int_Tables_number 1
loop_
_symmetry_equiv_pos_as_xyz
'x,y,z'
loop_
_atom_site_label
_atom_site_fract_x
_atom_site_fract_y
_atom_site_fract_z
Tm1 0.000 0.000 0.000
Tm2 0.467 0.038 0.509
Zr1 0.091 0.805 0.336
Zr2 0.712 0.567 0.173
Cl1 0.164 0.635 0.629
Cl2 0.635 0.736 0.880

---

(4)
# PBE Pm3Sn2Au, optimized geometry
# - Total moment: 0.00 μB per formula unit
# - Total energy: -0.1839 hartree per atom
# - DFT formation energy: -749 meV/atom
data_Pm3Sn2Au
_cell_length_a 12.514
_cell_length_b 4.634
_cell_length_c 11.982
_cell_angle_alpha 90.00
_cell_angle_beta 90.00
_cell_angle_gamma 90.00
_symmetry_space_group_name_H-M 'P n m a'
_symmetry_Int_Tables_number 62
loop_
_symmetry_equiv_pos_as_xyz
'x,y,z'
'-x,-y,-z'
'-x+1/2,-y,z+1/2'
'x+1/2,y,-z+1/2'
'x+1/2,-y+1/2,-z+1/2'
'-x+1/2,y+1/2,z+1/2'
'-x,y+1/2,-z'
'x,-y+1/2,z'
loop_
_atom_site_label
_atom_site_fract_x
_atom_site_fract_y
_atom_site_fract_z
Pm1 0.049 0.250 0.126
Pm2 0.127 0.750 0.562
Pm3 0.221 0.250 0.806
Sn1 0.006 0.750 0.311
Sn2 0.186 0.750 0.012
Au1 0.131 0.250 0.367